Entry from the Alexandria database: Ba2CaSb2 after structural relaxation (PBE-GGA).

As for the polymorph energy (0 for the lowest one): 551 meV/atom. The formation energy without anion corrections comes out at -0.49 eV/atom.

The structure belongs to space group I4/mmm (No. 139); the cell edges are 5.345, 5.345 and 14.666 Å and the angles 90.00°, 90.00° and 90.00°. The asymmetric unit holds Ba at (0.000, 0.500, 0.250), Ca at (0.000, 0.000, 0.000) and Sb at (0.000, 0.000, 0.400).

Entry from the Alexandria database: Tm8Tl3P3S after structural relaxation (PBE-GGA).

The formation energy without anion corrections comes out at -0.96 eV/atom.

The structure belongs to space group C2/m (No. 12); the cell edges are 13.312, 7.697 and 8.795 Å and the angles 90.00°, 120.34° and 90.00°. The asymmetric unit holds Tm at (0.014, 0.248, 0.292), Tm at (0.234, 0.000, 0.703), Tm at (0.238, 0.500, 0.708), Tl at (0.000, 0.500, 0.000), Tl at (0.250, 0.250, 0.000), P at (0.000, 0.000, 0.500), P at (0.250, 0.250, 0.500) and S at (0.000, 0.500, 0.500).

Entry from the Alexandria database: CrCuHg3 after structural relaxation (PBE-GGA).

The formation enthalpy at 0 K comes out at 0.61 eV/atom. As for the polymorph energy (0 for the lowest one): 0 meV/atom.

The structure belongs to space group Pm-3m (No. 221); the cell edges are 5.027, 5.027 and 5.027 Å and the angles 90.00°, 90.00° and 90.00°. The asymmetric unit holds Cr at (0.000, 0.000, 0.000), Cu at (0.500, 0.500, 0.500) and Hg at (0.000, 0.500, 0.500).

Entry from the Alexandria database: TiAlSb2Os after structural relaxation (PBE-GGA).

The formation energy without anion corrections comes out at 1.34 eV/atom.

The structure belongs to space group P4/mmm (No. 123); the cell edges are 5.107, 5.107 and 4.855 Å and the angles 90.00°, 90.00° and 90.00°. The asymmetric unit holds Ti at (0.000, 0.000, 0.000), Al at (0.000, 0.000, 0.500), Sb at (0.000, 0.500, 0.000) and Os at (0.500, 0.500, 0.500).

Entry from the Alexandria database: CoPb3Au after structural relaxation (PBE-GGA).

The formation enthalpy at 0 K comes out at 0.24 eV/atom. As for the polymorph energy (0 for the lowest one): 0 meV/atom.

The structure belongs to space group Pm-3m (No. 221); the cell edges are 5.066, 5.066 and 5.066 Å and the angles 90.00°, 90.00° and 90.00°. The asymmetric unit holds Co at (0.000, 0.000, 0.000), Pb at (0.000, 0.000, 0.500) and Au at (0.500, 0.500, 0.500).

Entry from the Alexandria database: Mg3Ge2Pd3 after structural relaxation (PBE-GGA).

The formation enthalpy at 0 K comes out at -0.53 eV/atom.

The structure belongs to space group Cmcm (No. 63); the cell edges are 4.187, 10.176 and 13.141 Å and the angles 90.00°, 90.00° and 90.00°. The asymmetric unit holds Mg at (0.000, 0.051, 0.112), Mg at (0.000, 0.312, 0.250), Ge at (0.000, 0.245, 0.601), Pd at (0.000, 0.387, 0.058) and Pd at (0.000, 0.405, 0.750).

Entry from the Alexandria database: Be2Ga2Ni5Ge after structural relaxation (PBE-GGA).

The formation enthalpy at 0 K comes out at -0.26 eV/atom.

The structure belongs to space group P4/mbm (No. 127); the cell edges are 8.417, 8.417 and 3.217 Å and the angles 90.00°, 90.00° and 90.00°. The asymmetric unit holds Be at (0.125, 0.375, 0.000), Ga at (0.169, 0.669, 0.000), Ni at (0.000, 0.500, 0.500), Ni at (0.087, 0.200, 0.500) and Ge at (0.000, 0.000, 0.000).

Entry from the Alexandria database: LiMnN after structural relaxation (PBE-GGA).

The formation energy without anion corrections comes out at -0.23 eV/atom.

The structure belongs to space group Pnma (No. 62); the cell edges are 6.805, 3.146 and 4.953 Å and the angles 90.00°, 90.00° and 90.00°. The asymmetric unit holds Li at (0.106, 0.250, 0.104), Mn at (0.123, 0.250, 0.585) and N at (0.157, 0.750, 0.355).

no.,energy (eV/atom),spin magnetization (μB/f.u.)
1,-3.309,0.00
2,-5.176,0.00
3,-2.314,5.08
4,-4.886,2.78
5,-4.063,0.96
6,-4.231,0.00
7,-4.965,0.00
8,-6.704,0.15